1) First-principles (PBE) data for an optimized crystal structure of SrClF, as listed in Alexandria via LeMat-Bulk.

abc: 4.3870 4.1500 4.1500
angles: 120.00 90.00 90.00
Positions (direct):
1 Sr 0.1663 0.0000 0.0000
2 F 0.1669 0.3333 0.6667
3 Cl 0.6668 0.6667 0.3333

Summary:
ρ = 3.6 g/cm3



2) First-principles (PBE) data for an optimized crystal structure of SrClF, as listed in Alexandria via LeMat-Bulk.

abc: 4.1639 4.1639 7.0620
angles: 90.00 90.00 90.00
Positions (direct):
1 Cl 0.0000 0.5000 0.3561
2 F 0.0000 0.0000 0.0000
3 Sr 0.5000 0.0000 0.2011
4 Cl 0.5000 0.0000 0.6439
5 F 0.5000 0.5000 0.0000
6 Sr 0.0000 0.5000 0.7989

Summary:
ρ = 3.9 g/cm3



3) First-principles (PBE) data for an optimized crystal structure of SrClF, as listed in Alexandria via LeMat-Bulk.

abc: 3.5400 3.5400 5.5816
angles: 108.49 108.49 90.00
Positions (direct):
1 Sr 0.7096 0.7096 0.4193
2 F 0.2815 0.2815 0.5630
3 Cl 0.0089 0.0089 0.0178

Summary:
ρ = 3.8 g/cm3



Last place for stability: 3)



1) First-principles (PBE) data for an optimized crystal structure of SrClF, as listed in Alexandria via LeMat-Bulk.

abc: 4.5544 4.5545 7.2758
angles: 71.76 71.77 90.00
Positions (direct):
1 Sr 0.5544 0.4946 0.8082
2 F 0.6543 0.0946 0.6085
3 Sr 0.2540 0.1943 0.4088
4 F 0.1542 0.5947 0.6085
5 Cl 0.4042 0.8442 0.1085
6 Cl 0.9042 0.3441 0.1085

Summary:
ρ = 3.5 g/cm3



2) First-principles (PBE) data for an optimized crystal structure of SrClF, as listed in Alexandria via LeMat-Bulk.

abc: 4.6376 4.6376 4.6376
angles: 60.00 60.00 60.00
Positions (direct):
1 F 0.5000 0.5000 0.5000
2 Cl 0.0000 0.0000 0.0000
3 Sr 0.2500 0.2500 0.2500

Summary:
ρ = 3.3 g/cm3



Last place for stability: 2)



1) First-principles (PBE) data for an optimized crystal structure of Sr2Cl2F, as listed in Alexandria via LeMat-Bulk.

abc: 4.7012 4.7012 8.0199
angles: 72.96 72.96 90.00
Positions (direct):
1 F 0.0000 0.0000 0.0000
2 Sr 0.6289 0.6289 0.7423
3 Cl 0.7500 0.2500 0.5000
4 Sr 0.3711 0.3711 0.2577
5 Cl 0.2500 0.7500 0.5000

Summary:
ρ = 2.7 g/cm3



2) First-principles (PBE) data for an optimized crystal structure of Sr2Cl2F, as listed in Alexandria via LeMat-Bulk.

abc: 7.3457 7.3457 4.7361
angles: 90.00 90.00 90.00
Positions (direct):
1 Cl 0.1551 0.6551 0.5000
2 Cl 0.3449 0.1551 0.5000
3 Sr 0.6834 0.1834 0.0000
4 Cl 0.8449 0.3449 0.5000
5 Sr 0.3166 0.8166 0.0000
6 Cl 0.6551 0.8449 0.5000
7 Sr 0.1834 0.3166 0.0000
8 Sr 0.8166 0.6834 0.0000
9 F 0.5000 0.5000 0.0000
10 F 0.0000 0.0000 0.0000

Summary:
ρ = 3.4 g/cm3



3) First-principles (PBE) data for an optimized crystal structure of Sr2Cl2F, as listed in Alexandria via LeMat-Bulk.

abc: 5.6842 5.6842 13.8030
angles: 90.00 90.00 90.00
Positions (direct):
1 Sr 0.5000 0.5000 0.1677
2 Sr 0.5000 0.5000 0.8323
3 Cl 0.5000 0.5000 0.3532
4 F 0.5000 0.5000 0.0000
5 Cl 0.5000 0.5000 0.6468

Summary:
ρ = 1.0 g/cm3



Last place for stability: 3)



1) First-principles (PBE) data for an optimized crystal structure of TaCl3F, as listed in Alexandria via LeMat-Bulk.

abc: 4.7474 4.7474 4.7474
angles: 90.00 90.00 90.00
Each line ends with the local moment (μB).
Positions (direct):
1 Cl 0.5000 0.0000 0.0000  0.00
2 Cl 0.0000 0.5000 0.0000  0.00
3 Cl 0.0000 0.0000 0.5000  0.00
4 Ta 0.0000 0.0000 0.0000  -0.06
5 F 0.5000 0.5000 0.5000  0.14

Summary:
ρ = 4.8 g/cm3



2) First-principles (PBE) data for an optimized crystal structure of TaCl3F, as listed in Alexandria via LeMat-Bulk.

abc: 4.5332 4.5332 4.5332
angles: 90.00 90.00 90.00
Positions (direct):
1 F 0.0000 0.0000 0.0000
2 Cl 0.5000 0.0000 0.0000
3 Ta 0.5000 0.5000 0.5000
4 Cl 0.0000 0.0000 0.5000
5 Cl 0.0000 0.5000 0.0000

Summary:
ρ = 5.5 g/cm3



Last place for stability: 2)



1) First-principles (PBE) data for an optimized crystal structure of TbCl2F, as listed in Alexandria via LeMat-Bulk.

abc: 6.0624 7.0048 10.5664
angles: 90.00 90.00 90.00
Positions (direct):
1 F 0.7500 0.3117 0.7500
2 F 0.2500 0.1883 0.7500
3 Cl 0.2349 0.0722 0.4247
4 Cl 0.2651 0.5722 0.9247
5 F 0.7500 0.8117 0.2500
6 Cl 0.7349 0.9277 0.9247
7 Cl 0.2349 0.5723 0.5753
8 Cl 0.7349 0.4278 0.0753
9 Tb 0.5000 0.7500 0.1047
10 Cl 0.2651 0.0723 0.0753
11 Tb 0.0000 0.2500 0.6047
12 Cl 0.7651 0.4277 0.4247
13 Tb 0.5000 0.2500 0.8953
14 Cl 0.7651 0.9278 0.5753
15 Tb 0.0000 0.7500 0.3953
16 F 0.2500 0.6883 0.2500

Summary:
ρ = 3.7 g/cm3



2) First-principles (PBE) data for an optimized crystal structure of TbCl2F, as listed in Alexandria via LeMat-Bulk.

abc: 4.0203 4.3885 7.1362
angles: 107.91 106.37 90.00
Positions (direct):
1 F 0.4999 0.5090 0.9998
2 Cl 0.1372 0.1463 0.2742
3 Cl 0.8628 0.8716 0.7259
4 Tb 0.5000 0.0092 0.0000

Summary:
ρ = 3.6 g/cm3



Last place for stability: 1)



1) First-principles (PBE) data for an optimized crystal structure of TbClF, as listed in Alexandria via LeMat-Bulk.

abc: 3.7944 6.3616 7.7009
angles: 43.92 75.73 90.00
Each line ends with the local moment (μB).
Positions (direct):
1 Tb 0.7223 0.7160 0.5554  0.60
2 Cl 0.5714 0.8541 0.8572  0.03
3 F 0.8308 0.5750 0.3384  0.02
4 Tb 0.2777 0.2840 0.4446  0.60
5 F 0.1692 0.4250 0.6616  0.02
6 Cl 0.4286 0.1459 0.1428  0.03

Summary:
ρ = 5.9 g/cm3



2) First-principles (PBE) data for an optimized crystal structure of TbClF, as listed in Alexandria via LeMat-Bulk.

abc: 5.2127 3.8952 11.9628
angles: 90.00 90.00 90.00
Positions (direct):
1 Cl 0.2652 0.5000 0.9670
2 Cl 0.2348 0.5000 0.4670
3 Cl 0.7348 0.0000 0.5330
4 Tb 0.7407 0.5000 0.3498
5 Cl 0.7652 0.0000 0.0330
6 F 0.0317 0.5000 0.6915
7 F 0.4683 0.5000 0.1915
8 Tb 0.2593 0.0000 0.1502
9 Tb 0.2407 0.0000 0.6502
10 F 0.9683 0.0000 0.8085
11 Tb 0.7593 0.5000 0.8498
12 F 0.5317 0.0000 0.3085

Summary:
ρ = 5.8 g/cm3



Last place for stability: 1)



1) First-principles (PBE) data for an optimized crystal structure of Tc2ClF, as listed in Alexandria via LeMat-Bulk.

abc: 4.1613 4.1613 4.1613
angles: 60.00 60.00 60.00
Positions (direct):
1 Tc 0.7500 0.7500 0.7500
2 Cl 0.5000 0.5000 0.5000
3 Tc 0.2500 0.2500 0.2500
4 F 0.0000 0.0000 0.0000

Summary:
ρ = 8.2 g/cm3



2) First-principles (PBE) data for an optimized crystal structure of Tc2ClF, as listed in Alexandria via LeMat-Bulk.

abc: 5.1427 5.1427 6.2502
angles: 65.71 65.71 90.00
Positions (direct):
1 Tc 0.8750 0.8932 0.7500
2 F 0.5000 0.5000 0.0000
3 Tc 0.1068 0.6250 0.2500
4 F 0.2500 0.7500 0.5000
5 Tc 0.6432 0.1250 0.2500
6 Tc 0.3750 0.3568 0.7500
7 Cl 0.7500 0.2500 0.5000
8 Cl 0.0000 0.0000 0.0000

Summary:
ρ = 6.2 g/cm3



Last place for stability: 2)



1) First-principles (PBE) data for an optimized crystal structure of TeClF3, as listed in Alexandria via LeMat-Bulk.

abc: 6.5421 6.5421 11.3855
angles: 90.00 90.00 90.00
Positions (direct):
1 F 0.1309 0.4173 0.6487
2 Cl 0.3918 0.8786 0.0958
3 Cl 0.8786 0.6082 0.8458
4 F 0.3296 0.4659 0.8500
5 F 0.5827 0.1309 0.8987
6 F 0.9933 0.2048 0.1110
7 Te 0.8255 0.3403 0.2357
8 F 0.7952 0.9933 0.3610
9 F 0.8691 0.5827 0.1487
10 Te 0.1745 0.6597 0.7357
11 F 0.5341 0.3296 0.1000
12 F 0.2048 0.0067 0.8610
13 F 0.6704 0.5341 0.3500
14 Te 0.3403 0.1745 0.9857
15 F 0.4659 0.6704 0.6000
16 F 0.4173 0.8691 0.3987
17 Cl 0.6082 0.1214 0.5958
18 Cl 0.1214 0.3918 0.3458
19 F 0.0067 0.7952 0.6110
20 Te 0.6597 0.8255 0.4857

Summary:
ρ = 3.0 g/cm3



2) First-principles (PBE) data for an optimized crystal structure of TeClF3, as listed in Alexandria via LeMat-Bulk.

abc: 4.4927 4.4927 4.4927
angles: 90.00 90.00 90.00
Each line ends with the local moment (μB).
Positions (direct):
1 F 0.0000 0.0000 0.5000  0.12
2 F 0.0000 0.5000 0.0000  0.05
3 Cl 0.0000 0.0000 0.0000  -0.03
4 Te 0.5000 0.5000 0.5000  1.47
5 F 0.5000 0.0000 0.0000  0.07

Summary:
ρ = 4.0 g/cm3



3) First-principles (PBE) data for an optimized crystal structure of TeClF3, as listed in Alexandria via LeMat-Bulk.

abc: 5.4255 5.2428 7.3688
angles: 89.99 90.01 90.01
Positions (direct):
1 F 0.9764 0.5425 0.5075
2 Te 0.1524 0.7044 0.7008
3 Te 0.6524 0.6483 0.2008
4 F 0.9765 0.5423 0.8939
5 Cl 0.9052 0.0321 0.2007
6 F 0.8676 0.9306 0.7009
7 F 0.4765 0.8105 0.3939
8 F 0.3676 0.4221 0.2009
9 Cl 0.4051 0.3206 0.7008
10 F 0.4764 0.8103 0.0075

Summary:
ρ = 3.5 g/cm3



4) First-principles (PBE) data for an optimized crystal structure of TeClF3, as listed in Alexandria via LeMat-Bulk.

abc: 4.3239 4.3239 4.3239
angles: 90.00 90.00 90.00
Positions (direct):
1 F 0.0000 0.5000 0.0000
2 Cl 0.5000 0.5000 0.5000
3 F 0.0000 0.0000 0.5000
4 Te 0.0000 0.0000 0.0000
5 F 0.5000 0.0000 0.0000

Summary:
ρ = 4.5 g/cm3



Last place for stability: 2)



1) First-principles (PBE) data for an optimized crystal structure of Te2ClF, as listed in Alexandria via LeMat-Bulk.

abc: 9.5234 9.5234 9.5234
angles: 20.37 20.37 20.37
Positions (direct):
1 Cl 0.5000 0.5000 0.5000
2 F 0.0000 0.0000 0.0000
3 Te 0.0801 0.0801 0.0801
4 Te 0.9199 0.9199 0.9199

Summary:
ρ = 5.6 g/cm3



2) First-principles (PBE) data for an optimized crystal structure of Te2ClF, as listed in Alexandria via LeMat-Bulk.

abc: 4.9234 4.9234 9.5465
angles: 75.06 75.06 90.00
Positions (direct):
1 F 0.5000 0.5000 0.0000
2 Te 0.3750 0.4774 0.7500
3 Te 0.8750 0.7726 0.7500
4 Cl 0.7500 0.2500 0.5000
5 Te 0.2274 0.6250 0.2500
6 Cl 0.0000 0.0000 0.0000
7 Te 0.5226 0.1250 0.2500
8 F 0.2500 0.7500 0.5000

Summary:
ρ = 4.8 g/cm3



3) First-principles (PBE) data for an optimized crystal structure of Te2ClF, as listed in Alexandria via LeMat-Bulk.

abc: 4.9197 4.9197 4.9197
angles: 60.00 60.00 60.00
Positions (direct):
1 F 0.0000 0.0000 0.0000
2 Te 0.2500 0.2500 0.2500
3 Te 0.7500 0.7500 0.7500
4 Cl 0.5000 0.5000 0.5000

Summary:
ρ = 6.1 g/cm3



Last place for stability: 3)



1) First-principles (PBE) data for an optimized crystal structure of TiCl2F, as listed in Alexandria via LeMat-Bulk.

abc: 9.0781 9.0781 6.7158
angles: 47.48 47.48 90.00
Each line ends with the local moment (μB).
Positions (direct):
1 Ti 0.0000 0.0000 0.0000  0.92
2 Cl 0.8750 0.0388 0.7500  -0.02
3 F 0.2500 0.7500 0.5000  -0.02
4 Cl 0.9612 0.6250 0.2500  -0.02
5 Ti 0.7500 0.2500 0.5000  0.93
6 Cl 0.3750 0.2112 0.7500  -0.02
7 F 0.5000 0.5000 0.0000  -0.02
8 Cl 0.7888 0.1250 0.2500  -0.02

Summary:
ρ = 2.8 g/cm3



2) First-principles (PBE) data for an optimized crystal structure of TiCl2F, as listed in Alexandria via LeMat-Bulk.

abc: 8.1144 8.1144 8.1144
angles: 25.39 25.39 25.39
Positions (direct):
1 Ti 0.0000 0.0000 0.0000
2 F 0.5000 0.5000 0.5000
3 Cl 0.0912 0.0912 0.0912
4 Cl 0.9088 0.9088 0.9088

Summary:
ρ = 2.6 g/cm3



3) First-principles (PBE) data for an optimized crystal structure of TiCl2F, as listed in Alexandria via LeMat-Bulk.

abc: 3.4312 3.9423 7.1466
angles: 106.11 103.89 90.00
Each line ends with the local moment (μB).
Positions (direct):
1 F 0.9911 0.5498 0.9822  -0.02
2 Cl 0.3619 0.9201 0.7238  0.00
3 Ti 0.9911 0.0496 0.9822  0.90
4 Cl 0.6203 0.1800 0.2405  0.00

Summary:
ρ = 2.5 g/cm3



Last place for stability: 2)